## SrCa2La (SCAN)

Data for SrCa2La at its PBEsol-relaxed geometry.

a b c (Å): 3.842 3.842 38.291
angles (deg): 90.00 90.00 120.00
Element x y z (fractional)
Sr: 0.000 0.000 0.000
Sr: 0.333 0.667 0.667
Sr: 0.667 0.333 0.333
Ca: 0.000 0.000 0.247
Ca: 0.000 0.000 0.753
Ca: 0.333 0.667 0.420
Ca: 0.333 0.667 0.913
Ca: 0.667 0.333 0.087
Ca: 0.667 0.333 0.580
La: 0.000 0.000 0.500
La: 0.333 0.667 0.167
La: 0.667 0.333 0.833

For the formation energy, the calculation gives 0.3 eV/f.u. As for the space group: R-3m (166).

=====

## BePb3Se (SCAN)

Data for BePb3Se at its PBEsol-relaxed geometry.

a b c (Å): 5.030 5.030 5.030
angles (deg): 90.00 90.00 90.00
Element x y z (fractional)
Be: 0.000 0.000 0.000
Pb: 0.000 0.000 0.500
Pb: 0.000 0.500 0.000
Pb: 0.500 0.000 0.000
Se: 0.500 0.500 0.500

The value obtained for the raw formation energy is 208 meV per atom. As for the space group: Pm-3m (221).

=====

no.,calculated density (g/cm3)
1,3.12
2,9.26